Material: NaMg2Zr
Method: DFT, PBE
State: relaxed

crystal system = cubic
formation enthalpy at 0 K = 133.1 kJ/mol of formula units
E above lowest polymorph = 262 meV/atom
total DFT energy (no corrections) = -0.2146 Ry per atom

Lattice parameters (Å, degrees): 7.270 7.270 7.270 90.00 90.00 90.00
Space group Fm-3m (No. 225)
Symmetry-distinct sites (fractional):
Na 0.000 0.000 0.000 (multiplicity 4)
Mg 0.250 0.250 0.250 (multiplicity 8)
Zr 0.000 0.000 0.500 (multiplicity 4)